[1]
First-principles (GGA-PBE) data for crystalline Cd3Mo at its relaxed geometry, as listed in the Alexandria database.

Computed properties:
ΔE_f = 491 meV per atom
Space-group type = Pmmn (59)

abc: 4.757 5.605 5.977
angles: 90.00 90.00 90.00
Last column: magnetic moment on the atom in μB.
Atoms (fractional coordinates):
Cd1 0.500 0.660 0.000  -0.02
Cd2 0.000 0.838 0.251  -0.01
Cd3 0.500 0.162 0.249  -0.01
Cd4 0.000 0.340 0.500  -0.02
Cd5 0.000 0.838 0.749  -0.01
Cd6 0.500 0.162 0.751  -0.01
Mo1 0.000 0.356 0.000  1.73
Mo2 0.500 0.644 0.500  1.73



[2]
First-principles (GGA-PBE) data for crystalline Sm6Dy6Er at its relaxed geometry, as listed in the Alexandria database.

Computed properties:
ΔE_f = 288 meV per atom
Space-group type = P6/mmm (191)

abc: 6.703 6.703 11.367
angles: 90.00 90.00 119.99
Last column: magnetic moment on the atom in μB.
Atoms (fractional coordinates):
Sm1 0.000 0.000 0.656  0.10
Sm2 0.000 0.000 0.344  0.10
Sm3 0.333 0.667 0.000  0.03
Sm4 0.667 0.333 0.000  0.03
Sm5 0.333 0.667 0.500  0.15
Sm6 0.667 0.333 0.500  0.15
Dy1 0.000 0.500 0.754  0.10
Dy2 0.500 0.000 0.754  0.10
Dy3 0.500 0.500 0.754  0.10
Dy4 0.500 0.000 0.246  0.10
Dy5 0.000 0.500 0.246  0.10
Dy6 0.500 0.500 0.246  0.10
Er1 0.000 0.000 0.000  0.04



[3]
First-principles (GGA-PBE) data for crystalline ZrWS2 at its relaxed geometry, as listed in the Alexandria database.

Computed properties:
Formation energy without anion corrections = -0.38 eV per atom
Space-group type = Fm-3m (225)

abc: 4.419 4.419 4.419
angles: 60.00 60.00 60.00
Atoms (fractional coordinates):
S1 0.250 0.250 0.250
S2 0.750 0.750 0.750
Zr1 0.000 0.000 0.000
W1 0.500 0.500 0.500



[4]
First-principles (GGA-PBE) data for crystalline VRuPt at its relaxed geometry, as listed in the Alexandria database.

Computed properties:
ΔE_f = -29 meV per atom
Space-group type = P-6m2 (187)

abc: 2.674 4.364 4.364
angles: 120.00 90.00 90.00
Atoms (fractional coordinates):
Ru1 0.167 0.333 0.667
Pt1 0.167 0.000 0.000
V1 0.667 0.667 0.333



[5]
First-principles (GGA-PBE) data for crystalline ScTiCo2 at its relaxed geometry, as listed in the Alexandria database.

Computed properties:
ΔE_f = -357 meV per atom
Space-group type = P4/mmm (123)

abc: 3.020 4.337 4.337
angles: 90.00 90.00 90.00
Last column: magnetic moment on the atom in μB.
Atoms (fractional coordinates):
Sc1 0.500 0.500 0.500  -0.15
Co1 0.000 0.000 0.500  0.77
Co2 0.000 0.500 0.000  0.77
Ti1 0.500 0.000 0.000  -0.18



[6]
First-principles (GGA-PBE) data for crystalline Ac2Zn4IrPt3 at its relaxed geometry, as listed in the Alexandria database.

Computed properties:
ΔE_f = -712 meV per atom
Space-group type = P-4m2 (115)

abc: 4.376 4.376 10.627
angles: 90.00 90.00 90.00
Atoms (fractional coordinates):
Ac1 0.500 0.000 0.262
Ac2 0.000 0.500 0.738
Zn1 0.500 0.500 0.000
Zn2 0.000 0.000 0.000
Zn3 0.500 0.000 0.625
Zn4 0.000 0.500 0.375
Ir1 0.500 0.500 0.500
Pt1 0.000 0.000 0.500
Pt2 0.500 0.000 0.865
Pt3 0.000 0.500 0.135



[7]
First-principles (GGA-PBE) data for crystalline Tb2ErTh4 at its relaxed geometry, as listed in the Alexandria database.

Computed properties:
ΔE_f = 81 meV per atom
Space-group type = Cmmm (65)

abc: 3.565 3.554 18.075
angles: 90.00 95.66 90.00
Atoms (fractional coordinates):
Tb1 0.793 0.500 0.585
Tb2 0.207 0.500 0.415
Er1 0.500 0.000 0.000
Th1 0.929 0.500 0.858
Th2 0.639 0.000 0.279
Th3 0.071 0.500 0.142
Th4 0.361 0.000 0.721



[8]
First-principles (GGA-PBE) data for crystalline AlGaPCl2 at its relaxed geometry, as listed in the Alexandria database.

Computed properties:
Formation energy without anion corrections = -0.33 eV per atom
Space-group type = P4/mmm (123)

abc: 4.699 4.699 4.933
angles: 90.00 90.00 90.00
Atoms (fractional coordinates):
P1 0.000 0.000 0.500
Al1 0.000 0.000 0.000
Ga1 0.500 0.500 0.500
Cl1 0.000 0.500 0.000
Cl2 0.500 0.000 0.000



[9]
First-principles (GGA-PBE) data for crystalline NpNbN2 at its relaxed geometry, as listed in the Alexandria database.

Computed properties:
Formation energy without anion corrections = -0.97 eV per atom
Space-group type = R3m (160)

abc: 3.183 3.183 6.059
angles: 74.77 74.77 60.00
Last column: magnetic moment on the atom in μB.
Atoms (fractional coordinates):
Np1 0.495 0.495 0.515  3.34
Nb1 0.670 0.670 0.990  0.00
N1 0.074 0.074 0.777  -0.06
N2 0.261 0.261 0.218  -0.05



[10]
First-principles (GGA-PBE) data for crystalline CaCeRuRh at its relaxed geometry, as listed in the Alexandria database.

Computed properties:
ΔE_f = -307 meV per atom
Space-group type = F-43m (216)

abc: 4.842 4.842 4.842
angles: 60.00 60.00 60.00
Atoms (fractional coordinates):
Ru1 0.750 0.750 0.750
Ca1 0.000 0.000 0.000
Rh1 0.250 0.250 0.250
Ce1 0.500 0.500 0.500



[11]
First-principles (GGA-PBE) data for crystalline AlSb2Mo at its relaxed geometry, as listed in the Alexandria database.

Computed properties:
Formation energy without anion corrections = 0.37 eV per atom
Space-group type = Immm (71)

abc: 5.230 5.230 5.230
angles: 137.13 122.13 74.65
Atoms (fractional coordinates):
Sb1 0.985 0.985 0.000
Sb2 0.515 0.515 0.000
Mo1 0.250 0.750 0.500
Al1 0.750 0.250 0.500



[12]
First-principles (GGA-PBE) data for crystalline Dy6Sc5 at its relaxed geometry, as listed in the Alexandria database.

Computed properties:
ΔE_f = 134 meV per atom
Space-group type = Immm (71)

abc: 5.290 8.891 8.891
angles: 115.27 107.29 107.29
Atoms (fractional coordinates):
Dy1 0.712 0.212 0.212
Dy2 0.288 0.788 0.788
Dy3 0.789 0.646 0.932
Dy4 0.211 0.068 0.354
Dy5 0.211 0.354 0.068
Dy6 0.789 0.932 0.646
Sc1 0.500 0.500 0.500
Sc2 0.000 0.662 0.338
Sc3 0.000 0.338 0.662
Sc4 0.500 0.797 0.203
Sc5 0.500 0.203 0.797



no.,volume (Å³/cell)
1,159
2,442
3,61
4,44
5,57
6,204
7,228
8,109
9,51
10,80
11,80
12,314